*w*
Compound: DySnF
Source: Alexandria
Functional: GGA-PBE
Structure: relaxed

Summary:
- spin magnetization (μB per cell) = 0.0
- space-group type = P-6m2, No. 187
- crystal system = hexagonal

Cell: 5.231 3.857 3.857 Å, 120.00 90.00 90.00°
Fractional positions:
Sn1 0.667 0.667 0.333
F1 0.167 0.333 0.667
Dy1 0.167 0.000 0.000

=====

*x*
Compound: DySnF
Source: Alexandria
Functional: GGA-PBE
Structure: relaxed

Summary:
- spin magnetization (μB per cell) = 0.0
- space-group type = R-3, No. 148
- crystal system = trigonal

Cell: 7.307 7.307 7.307 Å, 91.65 91.65 91.65°
Fractional positions:
Sn1 0.898 0.992 0.670
Sn2 0.670 0.898 0.992
Sn3 0.008 0.330 0.102
Sn4 0.992 0.670 0.898
Sn5 0.102 0.008 0.330
Sn6 0.330 0.102 0.008
F1 0.228 0.567 0.475
F2 0.772 0.433 0.525
F3 0.475 0.228 0.567
F4 0.567 0.475 0.228
F5 0.433 0.525 0.772
F6 0.525 0.772 0.433
Dy1 0.817 0.671 0.328
Dy2 0.329 0.672 0.183
Dy3 0.671 0.328 0.817
Dy4 0.328 0.817 0.671
Dy5 0.672 0.183 0.329
Dy6 0.183 0.329 0.672

=====

Tell me which of them is the least stable. Sure, it is *w*.

=====

*w*
Compound: TbDyF
Source: Alexandria
Functional: GGA-PBE
Structure: relaxed

Summary:
- spin magnetization (μB per cell) = 0.0
- space-group type = C2/m, No. 12
- crystal system = monoclinic

Cell: 3.522 6.938 6.874 Å, 61.64 75.15 75.29°
Fractional positions:
F1 0.660 0.624 0.056
F2 0.340 0.376 0.944
Tb1 0.005 0.724 0.266
Tb2 0.995 0.276 0.734
Dy1 0.735 0.239 0.292
Dy2 0.265 0.761 0.708

=====

*x*
Compound: TbDyF
Source: Alexandria
Functional: GGA-PBE
Structure: relaxed

Summary:
- spin magnetization (μB per cell) = 0.0
- space-group type = P3m1, No. 156
- crystal system = trigonal

Cell: 3.715 3.715 5.604 Å, 90.00 90.00 120.00°
Fractional positions:
Tb1 0.000 0.000 0.923
F1 0.333 0.667 0.665
Dy1 0.667 0.333 0.412

=====

Tell me which of them is the least stable. Sure, it is *x*.

=====

*w*
Compound: DyTeF
Source: Alexandria
Functional: GGA-PBE
Structure: relaxed

Summary:
- spin magnetization (μB per cell) = 0.0
- space-group type = C2/m, No. 12
- crystal system = monoclinic

Cell: 3.950 7.348 6.932 Å, 130.90 106.55 90.00°
Fractional positions:
F1 0.222 0.357 0.445
F2 0.778 0.643 0.555
Te1 0.423 0.187 0.846
Te2 0.577 0.813 0.154
Dy1 0.173 0.606 0.346
Dy2 0.827 0.394 0.654

=====

*x*
Compound: DyTeF
Source: Alexandria
Functional: GGA-PBE
Structure: relaxed

Summary:
- spin magnetization (μB per cell) = 0.0
- space-group type = I4mm, No. 107
- crystal system = tetragonal

Cell: 3.541 3.541 5.748 Å, 107.94 107.94 90.00°
Fractional positions:
Dy1 0.702 0.702 0.405
F1 0.285 0.285 0.570
Te1 0.013 0.013 0.025

=====

*y*
Compound: DyTeF
Source: Alexandria
Functional: GGA-PBE
Structure: relaxed

Summary:
- spin magnetization (μB per cell) = 0.0
- space-group type = P-6m2, No. 187
- crystal system = hexagonal

Cell: 4.342 4.120 4.120 Å, 120.00 90.00 90.00°
Fractional positions:
Dy1 0.167 0.667 0.333
F1 0.167 0.000 0.000
Te1 0.667 0.333 0.667

=====

Tell me which of them is the least stable. Sure, it is *x*.

=====

*w*
Compound: Dy2ZnF8
Source: Alexandria
Functional: GGA-PBE
Structure: relaxed

Summary:
- spin magnetization (μB per cell) = 0.0
- space-group type = C2/m, No. 12
- crystal system = monoclinic

Cell: 4.635 5.958 5.958 Å, 73.43 104.34 104.34°
Fractional positions:
F1 0.206 0.422 0.422
F2 0.760 0.135 0.135
F3 0.270 0.956 0.343
F4 0.270 0.343 0.956
F5 0.730 0.657 0.044
F6 0.240 0.865 0.865
F7 0.730 0.044 0.657
F8 0.794 0.578 0.578
Dy1 0.613 0.324 0.324
Dy2 0.387 0.676 0.676
Zn1 0.000 0.000 0.000

=====

*x*
Compound: Dy2ZnF8
Source: Alexandria
Functional: GGA-PBE
Structure: relaxed

Summary:
- spin magnetization (μB per cell) = 0.0
- space-group type = C2/m, No. 12
- crystal system = monoclinic

Cell: 3.399 5.781 8.148 Å, 88.52 102.04 90.00°
Fractional positions:
F1 0.984 0.217 0.967
F2 0.628 0.932 0.256
F3 0.393 0.537 0.786
F4 0.016 0.783 0.033
F5 0.607 0.463 0.214
F6 0.757 0.671 0.513
F7 0.372 0.068 0.744
F8 0.243 0.329 0.487
Zn1 0.500 0.000 0.000
Dy1 0.846 0.343 0.691
Dy2 0.154 0.657 0.309

=====

Tell me which of them is the least stable. Sure, it is *x*.

=====

*w*
Compound: DyGa6Fe6
Source: Alexandria
Functional: GGA-PBE
Structure: relaxed

Summary:
- spin magnetization (μB per cell) = 13.3
- space-group type = Fmmm, No. 69
- crystal system = orthorhombic

Cell: 8.579 6.638 6.556 Å, 81.11 49.86 49.03°
Each line ends with the local moment (μB).
Fractional positions:
Dy1 0.000 0.000 0.000  -0.17
Fe1 0.500 0.000 0.500  2.16
Fe2 0.709 0.506 0.494  2.39
Fe3 0.291 0.494 0.506  2.39
Fe4 0.494 0.291 0.709  2.39
Fe5 0.000 0.500 0.000  2.16
Fe6 0.506 0.709 0.291  2.39
Ga1 0.017 0.351 0.649  -0.06
Ga2 0.000 0.000 0.500  -0.05
Ga3 0.500 0.500 0.000  -0.05
Ga4 0.351 0.017 0.983  -0.06
Ga5 0.983 0.649 0.351  -0.06
Ga6 0.649 0.983 0.017  -0.06

=====

*x*
Compound: DyGa6Fe6
Source: Alexandria
Functional: GGA-PBE
Structure: relaxed

Summary:
- spin magnetization (μB per cell) = 10.9
- space-group type = Immm, No. 71
- crystal system = orthorhombic

Cell: 6.559 6.559 6.559 Å, 134.95 99.30 97.59°
Each line ends with the local moment (μB).
Fractional positions:
Ga1 0.656 0.656 0.000  -0.07
Ga2 0.666 0.000 0.666  -0.06
Ga3 0.334 0.000 0.334  -0.06
Ga4 0.184 0.684 0.500  -0.08
Ga5 0.344 0.344 0.000  -0.07
Ga6 0.816 0.316 0.500  -0.08
Fe1 0.500 0.000 0.000  1.92
Fe2 0.500 0.500 0.500  1.92
Fe3 0.000 0.000 0.500  1.92
Fe4 0.243 0.500 0.743  1.98
Fe5 0.000 0.500 0.000  1.92
Fe6 0.757 0.500 0.257  1.98
Dy1 0.000 0.000 0.000  -0.22

=====

Tell me which of them is the least stable. Sure, it is *w*.

=====

*w*
Compound: DyGa3Fe
Source: Alexandria
Functional: GGA-PBE
Structure: relaxed

Summary:
- spin magnetization (μB per cell) = 4.1
- space-group type = P6_3/mmc, No. 194
- crystal system = hexagonal

Cell: 5.437 6.136 6.136 Å, 120.00 90.00 90.00°
Each line ends with the local moment (μB).
Fractional positions:
Ga1 0.250 0.190 0.380  -0.01
Ga2 0.250 0.190 0.810  -0.01
Ga3 0.750 0.380 0.190  -0.01
Ga4 0.750 0.810 0.190  -0.01
Ga5 0.750 0.810 0.620  -0.01
Ga6 0.250 0.620 0.810  -0.01
Dy1 0.250 0.667 0.333  0.06
Dy2 0.750 0.333 0.667  0.06
Fe1 0.500 0.000 0.000  1.97
Fe2 0.000 0.000 0.000  1.97

=====

*x*
Compound: DyGa3Fe
Source: Alexandria
Functional: GGA-PBE
Structure: relaxed

Summary:
- spin magnetization (μB per cell) = 0.0
- space-group type = Pm-3m, No. 221
- crystal system = cubic

Cell: 4.532 4.532 4.532 Å, 90.00 90.00 90.00°
Fractional positions:
Fe1 0.000 0.000 0.000
Ga1 0.000 0.000 0.500
Ga2 0.000 0.500 0.000
Ga3 0.500 0.000 0.000
Dy1 0.500 0.500 0.500

=====

Tell me which of them is the least stable. Sure, it is *x*.

=====

*w*
Compound: DyGa3Fe3
Source: Alexandria
Functional: GGA-PBE
Structure: relaxed

Summary:
- spin magnetization (μB per cell) = 10.1
- space-group type = Pm-3n, No. 223
- crystal system = cubic

Cell: 6.493 6.493 6.493 Å, 90.00 90.00 90.00°
Each line ends with the local moment (μB).
Fractional positions:
Fe1 0.500 0.750 0.000  1.84
Fe2 0.250 0.000 0.500  1.84
Fe3 0.750 0.000 0.500  1.84
Fe4 0.000 0.500 0.250  1.84
Fe5 0.500 0.250 0.000  1.84
Fe6 0.000 0.500 0.750  1.84
Ga1 0.500 0.000 0.250  -0.10
Ga2 0.250 0.500 0.000  -0.10
Ga3 0.000 0.750 0.500  -0.10
Ga4 0.000 0.250 0.500  -0.10
Ga5 0.750 0.500 0.000  -0.10
Ga6 0.500 0.000 0.750  -0.10
Dy1 0.000 0.000 0.000  -0.16
Dy2 0.500 0.500 0.500  -0.16

=====

*x*
Compound: DyGa3Fe3
Source: Alexandria
Functional: GGA-PBE
Structure: relaxed

Summary:
- spin magnetization (μB per cell) = 12.5
- space-group type = P6_3/m, No. 176
- crystal system = hexagonal

Cell: 4.221 7.873 7.873 Å, 120.00 90.00 90.00°
Each line ends with the local moment (μB).
Fractional positions:
Dy1 0.250 0.667 0.333  -0.22
Dy2 0.750 0.333 0.667  -0.22
Fe1 0.750 0.801 0.829  2.25
Fe2 0.250 0.829 0.028  2.25
Fe3 0.750 0.171 0.972  2.25
Fe4 0.250 0.972 0.801  2.25
Fe5 0.250 0.199 0.171  2.25
Fe6 0.750 0.028 0.199  2.25
Ga1 0.250 0.597 0.665  -0.06
Ga2 0.750 0.932 0.597  -0.06
Ga3 0.250 0.335 0.932  -0.06
Ga4 0.250 0.068 0.403  -0.06
Ga5 0.750 0.403 0.335  -0.06
Ga6 0.750 0.665 0.068  -0.06

=====

Tell me which of them is the least stable. Sure, it is *w*.

=====

*w*
Compound: Dy2GaFe
Source: Alexandria
Functional: GGA-PBE
Structure: relaxed

Summary:
- spin magnetization (μB per cell) = 1.4
- space-group type = Fm-3m, No. 225
- crystal system = cubic

Cell: 4.938 4.938 4.938 Å, 60.00 60.00 60.00°
Each line ends with the local moment (μB).
Fractional positions:
Fe1 0.000 0.000 0.000  1.97
Dy1 0.250 0.250 0.250  -0.24
Dy2 0.750 0.750 0.750  -0.24
Ga1 0.500 0.500 0.500  -0.01

=====

*x*
Compound: Dy2GaFe
Source: Alexandria
Functional: GGA-PBE
Structure: relaxed

Summary:
- spin magnetization (μB per cell) = 1.3
- space-group type = P4/mmm, No. 123
- crystal system = tetragonal

Cell: 3.489 3.489 6.995 Å, 90.00 90.00 90.00°
Each line ends with the local moment (μB).
Fractional positions:
Dy1 0.000 0.000 0.233  -0.29
Dy2 0.000 0.000 0.767  -0.29
Ga1 0.500 0.500 0.500  -0.01
Fe1 0.500 0.500 0.000  1.94

=====

Tell me which of them is the least stable. Sure, it is *w*.

=====

*w*
Compound: Dy2Fe3Ge4
Source: Alexandria
Functional: GGA-PBE
Structure: relaxed

Summary:
- spin magnetization (μB per cell) = 4.7
- space-group type = Fmmm, No. 69
- crystal system = orthorhombic

Cell: 5.354 5.354 6.701 Å, 101.14 101.14 121.09°
Each line ends with the local moment (μB).
Fractional positions:
Ge1 0.988 0.326 0.314  -0.04
Ge2 0.674 0.012 0.686  -0.04
Ge3 0.012 0.674 0.686  -0.04
Ge4 0.326 0.988 0.314  -0.04
Dy1 0.636 0.636 0.272  -0.21
Dy2 0.364 0.364 0.728  -0.21
Fe1 0.000 0.000 0.000  2.06
Fe2 0.500 0.000 0.000  1.68
Fe3 0.000 0.500 0.000  1.68

=====

*x*
Compound: Dy2Fe3Ge4
Source: Alexandria
Functional: GGA-PBE
Structure: relaxed

Summary:
- spin magnetization (μB per cell) = 7.8
- space-group type = Cmce, No. 64
- crystal system = orthorhombic

Cell: 5.463 7.334 7.809 Å, 90.00 110.48 90.00°
Each line ends with the local moment (μB).
Fractional positions:
Ge1 0.685 0.526 0.370  -0.06
Ge2 0.307 0.250 0.113  -0.01
Ge3 0.193 0.750 0.887  -0.01
Ge4 0.185 0.974 0.370  -0.06
Ge5 0.807 0.250 0.113  -0.01
Ge6 0.693 0.750 0.887  -0.01
Ge7 0.315 0.474 0.630  -0.06
Ge8 0.815 0.026 0.630  -0.06
Dy1 0.112 0.594 0.223  -0.06
Dy2 0.612 0.906 0.223  -0.06
Dy3 0.888 0.406 0.777  -0.06
Dy4 0.388 0.094 0.777  -0.06
Fe1 0.500 0.500 0.000  1.32
Fe2 0.026 0.750 0.553  1.41
Fe3 0.474 0.250 0.447  1.41
Fe4 0.000 0.000 0.000  1.32
Fe5 0.974 0.250 0.447  1.41
Fe6 0.526 0.750 0.553  1.41

=====

Tell me which of them is the least stable. Sure, it is *w*.

=====

*w*
Compound: Dy2HoFe
Source: Alexandria
Functional: GGA-PBE
Structure: relaxed

Summary:
- spin magnetization (μB per cell) = 0.0
- space-group type = P4/mmm, No. 123
- crystal system = tetragonal

Cell: 3.345 3.345 8.976 Å, 90.00 90.00 90.00°
Fractional positions:
Dy1 0.000 0.000 0.180
Dy2 0.000 0.000 0.820
Ho1 0.500 0.500 0.500
Fe1 0.500 0.500 0.000

=====

*x*
Compound: Dy2HoFe
Source: Alexandria
Functional: GGA-PBE
Structure: relaxed

Summary:
- spin magnetization (μB per cell) = 0.7
- space-group type = R-3m, No. 166
- crystal system = trigonal

Cell: 3.449 3.449 10.748 Å, 80.77 80.77 60.00°
Each line ends with the local moment (μB).
Fractional positions:
Dy1 0.108 0.108 0.677  -0.24
Dy2 0.892 0.892 0.323  -0.24
Ho1 0.000 0.000 0.000  -0.15
Fe1 0.500 0.500 0.500  1.48

=====

*y*
Compound: Dy2HoFe
Source: Alexandria
Functional: GGA-PBE
Structure: relaxed

Summary:
- spin magnetization (μB per cell) = 0.0
- space-group type = Pnma, No. 62
- crystal system = orthorhombic

Cell: 6.232 7.043 9.156 Å, 90.00 90.00 90.00°
Fractional positions:
Fe1 0.966 0.610 0.750
Fe2 0.466 0.890 0.250
Fe3 0.034 0.390 0.250
Fe4 0.534 0.110 0.750
Dy1 0.173 0.674 0.067
Dy2 0.327 0.174 0.067
Dy3 0.827 0.326 0.567
Dy4 0.673 0.826 0.567
Dy5 0.173 0.674 0.433
Dy6 0.327 0.174 0.433
Dy7 0.673 0.826 0.933
Dy8 0.827 0.326 0.933
Ho1 0.639 0.549 0.250
Ho2 0.139 0.951 0.750
Ho3 0.361 0.451 0.750
Ho4 0.861 0.049 0.250

=====

Tell me which of them is the least stable. Sure, it is *x*.

=====

*w*
Compound: LaDyFe
Source: Alexandria
Functional: GGA-PBE
Structure: relaxed

Summary:
- spin magnetization (μB per cell) = 0.4
- space-group type = I4mm, No. 107
- crystal system = tetragonal

Cell: 3.417 3.417 7.047 Å, 104.03 104.03 90.00°
Each line ends with the local moment (μB).
Fractional positions:
Dy1 0.045 0.045 0.090  -0.20
Fe1 0.663 0.663 0.326  0.89
La1 0.292 0.292 0.584  -0.14

=====

*x*
Compound: LaDyFe
Source: Alexandria
Functional: GGA-PBE
Structure: relaxed

Summary:
- spin magnetization (μB per cell) = 3.4
- space-group type = Cmce, No. 64
- crystal system = orthorhombic

Cell: 7.097 7.074 7.352 Å, 90.00 90.00 120.10°
Each line ends with the local moment (μB).
Fractional positions:
La1 0.300 0.600 0.114  -0.09
La2 0.800 0.600 0.386  -0.09
La3 0.700 0.400 0.886  -0.09
La4 0.200 0.400 0.614  -0.09
Fe1 0.091 0.181 0.959  1.32
Fe2 0.409 0.819 0.459  1.32
Fe3 0.591 0.181 0.541  1.32
Fe4 0.909 0.819 0.041  1.32
Dy1 0.712 0.924 0.750  -0.23
Dy2 0.788 0.076 0.250  -0.23
Dy3 0.288 0.076 0.250  -0.23
Dy4 0.212 0.924 0.750  -0.23

=====

Tell me which of them is the least stable. Sure, it is *w*.